[1]
# CaInMo2P, optimized geometry, DFT PBE
data_CaInMo2P
_symmetry_space_group_name_H-M 'P 1'
_symmetry_Int_Tables_number 1
_symmetry_space_group_name_Hall 'P 1'
_cell_length_a 4.697
_cell_length_b 4.697
_cell_length_c 5.338
_cell_angle_alpha 90.00
_cell_angle_beta 90.00
_cell_angle_gamma 90.00
loop_
_atom_site_label
_atom_site_fract_x
_atom_site_fract_y
_atom_site_fract_z
Ca1 0.000 0.000 0.000
In1 0.000 0.000 0.500
Mo1 0.000 0.500 0.000
Mo2 0.500 0.000 0.000
P1 0.500 0.500 0.500
# Total energy: -19.59 eV per cell
# DFT formation energy: 2.44 eV/atom
# D(E_F): 6.521 states/eV per cell
# SG: P4/mmm (123)


[2]
# GdHf, optimized geometry, DFT PBE
data_GdHf
_symmetry_space_group_name_H-M 'P 1'
_symmetry_Int_Tables_number 1
_symmetry_space_group_name_Hall 'P 1'
_cell_length_a 3.344
_cell_length_b 5.277
_cell_length_c 6.022
_cell_angle_alpha 90.00
_cell_angle_beta 90.00
_cell_angle_gamma 90.00
loop_
_atom_site_label
_atom_site_fract_x
_atom_site_fract_y
_atom_site_fract_z
Gd1 0.250 0.250 0.101
Gd2 0.750 0.750 0.899
Hf1 0.250 0.750 0.428
Hf2 0.750 0.250 0.572
# Total energy: -47.46 eV per cell
# DFT formation energy: 0.15 eV/atom
# D(E_F): 5.368 states/eV per cell
# SG: Pmmn (59)


[3]
# CaCd4Pt, optimized geometry, DFT PBE
data_CaCd4Pt
_symmetry_space_group_name_H-M 'P 1'
_symmetry_Int_Tables_number 1
_symmetry_space_group_name_Hall 'P 1'
_cell_length_a 5.665
_cell_length_b 5.665
_cell_length_c 5.665
_cell_angle_alpha 60.00
_cell_angle_beta 60.00
_cell_angle_gamma 60.00
loop_
_atom_site_label
_atom_site_fract_x
_atom_site_fract_y
_atom_site_fract_z
Ca1 0.000 0.000 0.000
Cd1 0.127 0.624 0.624
Cd2 0.624 0.127 0.624
Cd3 0.624 0.624 0.127
Cd4 0.624 0.624 0.624
Pt1 0.250 0.250 0.250
# Polymorph energy (0 for the lowest one): 99.7 kJ/mol of formula units
# Total energy: -12.89 eV per cell
# DFT formation energy: -0.20 eV/atom
# D(E_F): 0.913 states/eV per cell
# SG: F-43m (216)


[4]
# Pr6AgGe3, optimized geometry, DFT PBE
data_Pr6AgGe3
_symmetry_space_group_name_H-M 'P 1'
_symmetry_Int_Tables_number 1
_symmetry_space_group_name_Hall 'P 1'
_cell_length_a 7.304
_cell_length_b 8.259
_cell_length_c 12.330
_cell_angle_alpha 90.00
_cell_angle_beta 123.54
_cell_angle_gamma 90.00
loop_
_atom_site_label
_atom_site_fract_x
_atom_site_fract_y
_atom_site_fract_z
Pr1 0.051 0.082 0.246
Pr2 0.051 0.418 0.746
Pr3 0.221 0.682 0.071
Pr4 0.221 0.818 0.571
Pr5 0.402 0.173 0.071
Pr6 0.402 0.327 0.571
Pr7 0.598 0.673 0.429
Pr8 0.598 0.827 0.929
Pr9 0.779 0.182 0.429
Pr10 0.779 0.318 0.929
Pr11 0.949 0.582 0.254
Pr12 0.949 0.918 0.754
Ag1 0.500 0.000 0.500
Ag2 0.500 0.500 0.000
Ge1 0.000 0.000 0.000
Ge2 0.000 0.500 0.500
Ge3 0.314 0.118 0.759
Ge4 0.314 0.382 0.259
Ge5 0.686 0.618 0.741
Ge6 0.686 0.882 0.241
# Total energy: -99.70 eV per cell
# DFT formation energy: -0.45 eV/atom
# D(E_F): 19.971 states/eV per cell
# SG: P2_1/c (14)


[5]
# LiEuCuPt, optimized geometry, DFT PBE
data_LiEuCuPt
_symmetry_space_group_name_H-M 'P 1'
_symmetry_Int_Tables_number 1
_symmetry_space_group_name_Hall 'P 1'
_cell_length_a 4.653
_cell_length_b 4.653
_cell_length_c 4.653
_cell_angle_alpha 60.00
_cell_angle_beta 60.00
_cell_angle_gamma 60.00
loop_
_atom_site_label
_atom_site_fract_x
_atom_site_fract_y
_atom_site_fract_z
Li1 0.000 0.000 0.000
Eu1 0.250 0.250 0.250
Cu1 0.500 0.500 0.500
Pt1 0.750 0.750 0.750
# Total energy: -23.75 eV per cell
# DFT formation energy: -0.36 eV/atom
# D(E_F): 7.633 states/eV per cell
# SG: F-43m (216)


[6]
# Pr5ZnAg4, optimized geometry, DFT PBE
data_Pr5ZnAg4
_symmetry_space_group_name_H-M 'P 1'
_symmetry_Int_Tables_number 1
_symmetry_space_group_name_Hall 'P 1'
_cell_length_a 3.759
_cell_length_b 3.759
_cell_length_c 18.946
_cell_angle_alpha 90.00
_cell_angle_beta 90.00
_cell_angle_gamma 90.00
loop_
_atom_site_label
_atom_site_fract_x
_atom_site_fract_y
_atom_site_fract_z
Pr1 0.000 0.000 0.000
Pr2 0.000 0.000 0.203
Pr3 0.000 0.000 0.405
Pr4 0.000 0.000 0.595
Pr5 0.000 0.000 0.797
Zn1 0.500 0.500 0.500
Ag1 0.500 0.500 0.100
Ag2 0.500 0.500 0.303
Ag3 0.500 0.500 0.697
Ag4 0.500 0.500 0.900
# Total energy: -39.19 eV per cell
# DFT formation energy: -0.26 eV/atom
# D(E_F): 9.345 states/eV per cell
# SG: P4/mmm (123)


[7]
# CeMgTlSn, optimized geometry, DFT PBE
data_CeMgTlSn
_symmetry_space_group_name_H-M 'P 1'
_symmetry_Int_Tables_number 1
_symmetry_space_group_name_Hall 'P 1'
_cell_length_a 4.492
_cell_length_b 4.733
_cell_length_c 4.941
_cell_angle_alpha 90.00
_cell_angle_beta 90.00
_cell_angle_gamma 90.00
loop_
_atom_site_label
_atom_site_fract_x
_atom_site_fract_y
_atom_site_fract_z
Ce1 0.000 0.000 0.000
Mg1 0.000 0.500 0.500
Tl1 0.500 0.000 0.500
Sn1 0.500 0.500 0.000
# Polymorph energy (0 for the lowest one): 0.0 kJ/mol of formula units
# Total energy: -15.41 eV per cell
# DFT formation energy: -0.38 eV/atom
# D(E_F): 6.354 states/eV per cell
# SG: Pmmm (47)


[8]
# Y6Hg5Ru, optimized geometry, DFT PBE
data_Y6Hg5Ru
_symmetry_space_group_name_H-M 'P 1'
_symmetry_Int_Tables_number 1
_symmetry_space_group_name_Hall 'P 1'
_cell_length_a 8.955
_cell_length_b 8.955
_cell_length_c 8.955
_cell_angle_alpha 146.39
_cell_angle_beta 130.94
_cell_angle_gamma 60.78
loop_
_atom_site_label
_atom_site_fract_x
_atom_site_fract_y
_atom_site_fract_z
Y1 0.079 0.343 0.737
Y2 0.229 0.000 0.229
Y3 0.394 0.657 0.737
Y4 0.606 0.343 0.263
Y5 0.771 0.000 0.771
Y6 0.921 0.657 0.263
Hg1 0.179 0.179 0.000
Hg2 0.334 0.834 0.500
Hg3 0.500 0.500 0.000
Hg4 0.666 0.166 0.500
Hg5 0.821 0.821 0.000
Ru1 0.000 0.500 0.500
# Total energy: -55.52 eV per cell
# DFT formation energy: -0.50 eV/atom
# D(E_F): 6.404 states/eV per cell
# SG: Immm (71)


[9]
# Y3Ge2Rh6, optimized geometry, DFT PBE
data_Y3Ge2Rh6
_symmetry_space_group_name_H-M 'P 1'
_symmetry_Int_Tables_number 1
_symmetry_space_group_name_Hall 'P 1'
_cell_length_a 8.117
_cell_length_b 8.117
_cell_length_c 8.117
_cell_angle_alpha 109.47
_cell_angle_beta 109.47
_cell_angle_gamma 109.47
loop_
_atom_site_label
_atom_site_fract_x
_atom_site_fract_y
_atom_site_fract_z
Y1 0.000 0.297 0.297
Y2 0.000 0.703 0.703
Y3 0.297 0.000 0.297
Y4 0.297 0.297 0.000
Y5 0.703 0.000 0.703
Y6 0.703 0.703 0.000
Ge1 0.000 0.000 0.500
Ge2 0.000 0.500 0.000
Ge3 0.500 0.000 0.000
Ge4 0.500 0.500 0.500
Rh1 0.000 0.323 0.677
Rh2 0.000 0.677 0.323
Rh3 0.323 0.000 0.677
Rh4 0.323 0.323 0.646
Rh5 0.323 0.646 0.323
Rh6 0.323 0.677 0.000
Rh7 0.354 0.677 0.677
Rh8 0.646 0.323 0.323
Rh9 0.677 0.000 0.323
Rh10 0.677 0.323 0.000
Rh11 0.677 0.354 0.677
Rh12 0.677 0.677 0.354
# Total energy: -161.19 eV per cell
# DFT formation energy: -0.71 eV/atom
# D(E_F): 14.547 states/eV per cell
# SG: Im-3m (229)


[10]
# GdCdRh, optimized geometry, DFT PBE
data_GdCdRh
_symmetry_space_group_name_H-M 'P 1'
_symmetry_Int_Tables_number 1
_symmetry_space_group_name_Hall 'P 1'
_cell_length_a 4.687
_cell_length_b 4.687
_cell_length_c 4.687
_cell_angle_alpha 60.00
_cell_angle_beta 60.00
_cell_angle_gamma 60.00
loop_
_atom_site_label
_atom_site_fract_x
_atom_site_fract_y
_atom_site_fract_z
Gd1 0.000 0.000 0.000
Cd1 0.500 0.500 0.500
Rh1 0.250 0.250 0.250
# Polymorph energy (0 for the lowest one): 0.0 kJ/mol of formula units
# Total energy: -23.74 eV per cell
# DFT formation energy: -0.46 eV/atom
# D(E_F): 1.182 states/eV per cell
# SG: F-43m (216)


[11]
# LiCaSb3, optimized geometry, DFT PBE
data_LiCaSb3
_symmetry_space_group_name_H-M 'P 1'
_symmetry_Int_Tables_number 1
_symmetry_space_group_name_Hall 'P 1'
_cell_length_a 5.135
_cell_length_b 5.135
_cell_length_c 5.135
_cell_angle_alpha 90.00
_cell_angle_beta 90.00
_cell_angle_gamma 90.00
loop_
_atom_site_label
_atom_site_fract_x
_atom_site_fract_y
_atom_site_fract_z
Li1 0.000 0.000 0.000
Ca1 0.500 0.500 0.500
Sb1 0.000 0.000 0.500
Sb2 0.000 0.500 0.000
Sb3 0.500 0.000 0.000
# Polymorph energy (0 for the lowest one): 149.1 kJ/mol of formula units
# Total energy: -17.12 eV per cell
# D(E_F): 2.461 states/eV per cell
# Uncorrected formation energy: -168 meV per atom
# SG: Pm-3m (221)


[12]
# Be3Pt, optimized geometry, DFT PBE
data_Be3Pt
_symmetry_space_group_name_H-M 'P 1'
_symmetry_Int_Tables_number 1
_symmetry_space_group_name_Hall 'P 1'
_cell_length_a 4.336
_cell_length_b 4.336
_cell_length_c 4.336
_cell_angle_alpha 90.00
_cell_angle_beta 90.00
_cell_angle_gamma 90.00
loop_
_atom_site_label
_atom_site_fract_x
_atom_site_fract_y
_atom_site_fract_z
Be1 0.000 0.250 0.500
Be2 0.000 0.750 0.500
Be3 0.250 0.500 0.000
Be4 0.500 0.000 0.250
Be5 0.500 0.000 0.750
Be6 0.750 0.500 0.000
Pt1 0.000 0.000 0.000
Pt2 0.500 0.500 0.500
# Total energy: -37.79 eV per cell
# DFT formation energy: -0.42 eV/atom
# D(E_F): 3.488 states/eV per cell
# SG: Pm-3n (223)


[13]
# AcSmTl, optimized geometry, DFT PBE
data_AcSmTl
_symmetry_space_group_name_H-M 'P 1'
_symmetry_Int_Tables_number 1
_symmetry_space_group_name_Hall 'P 1'
_cell_length_a 7.436
_cell_length_b 7.436
_cell_length_c 7.436
_cell_angle_alpha 149.65
_cell_angle_beta 149.65
_cell_angle_gamma 43.46
loop_
_atom_site_label
_atom_site_fract_x
_atom_site_fract_y
_atom_site_fract_z
Ac1 0.000 0.000 0.000
Sm1 0.695 0.695 0.000
Tl1 0.328 0.328 0.000
# Polymorph energy (0 for the lowest one): 14.9 kJ/mol of formula units
# Total energy: -11.80 eV per cell
# DFT formation energy: -0.20 eV/atom
# D(E_F): 3.131 states/eV per cell
# SG: I4mm (107)